No. 1
Compound: TlGaOsC2
Source: Alexandria via LeMat-Bulk
Functional: meta-GGA SCAN
Structure: single point on PBEsol structure

Values from the calculation:
For the density of states at the Fermi level, the calculation gives 0.37 states/eV per atom. The calculation puts the total energy at -33.41 eV per atom.

Cell lengths 3.8807, 3.8807, 5.2485 Å; angles 90.00, 90.00, 90.00 degrees
Space group P4/mmm (No. 123)
Unique sites:
1 Tl 0.0000 0.0000 0.0000 (multiplicity 1)
2 Ga 0.0000 0.0000 0.5000 (multiplicity 1)
3 Os 0.5000 0.5000 0.0000 (multiplicity 1)
4 C 0.0000 0.5000 0.5000 (multiplicity 2)

No. 2
Compound: GaPd2C
Source: Alexandria via LeMat-Bulk
Functional: meta-GGA SCAN
Structure: single point on PBEsol structure

Values from the calculation:
For the density of states at the Fermi level, the calculation gives 0.47 states/eV per atom. The calculation puts the total energy at -22.18 eV per atom.

Cell lengths 5.8635, 5.8635, 5.8635 Å; angles 90.00, 90.00, 90.00 degrees
Space group Fm-3m (No. 225)
Unique sites:
1 Ga 0.0000 0.0000 0.0000 (multiplicity 4)
2 Pd 0.2500 0.2500 0.2500 (multiplicity 8)
3 C 0.0000 0.0000 0.5000 (multiplicity 4)

No. 3
Compound: GaPd3C
Source: Alexandria via LeMat-Bulk
Functional: meta-GGA SCAN
Structure: single point on PBEsol structure

Values from the calculation:
For the density of states at the Fermi level, the calculation gives 0.46 states/eV per atom. The calculation puts the total energy at -23.24 eV per atom.

Cell lengths 4.5140, 4.5140, 4.5140 Å; angles 90.00, 90.00, 90.00 degrees
Space group Pm-3m (No. 221)
Unique sites:
1 Ga 0.0000 0.0000 0.0000 (multiplicity 1)
2 Pd 0.0000 0.0000 0.5000 (multiplicity 3)
3 C 0.5000 0.5000 0.5000 (multiplicity 1)

No. 4
Compound: GaPtC3
Source: Alexandria via LeMat-Bulk
Functional: meta-GGA SCAN
Structure: single point on PBEsol structure

Values from the calculation:
For the density of states at the Fermi level, the calculation gives 0.36 states/eV per atom. The calculation puts the total energy at -20.46 eV per atom.

Cell lengths 3.8917, 3.8917, 3.8917 Å; angles 90.00, 90.00, 90.00 degrees
Space group Pm-3m (No. 221)
Unique sites:
1 Ga 0.0000 0.0000 0.0000 (multiplicity 1)
2 Pt 0.5000 0.5000 0.5000 (multiplicity 1)
3 C 0.0000 0.0000 0.5000 (multiplicity 3)

No. 5
Compound: Ga3PtC
Source: Alexandria via LeMat-Bulk
Functional: meta-GGA SCAN
Structure: single point on PBEsol structure

Values from the calculation:
For the density of states at the Fermi level, the calculation gives 0.41 states/eV per atom. The calculation puts the total energy at -25.27 eV per atom.

Cell lengths 4.1619, 4.1619, 4.1619 Å; angles 90.00, 90.00, 90.00 degrees
Space group Pm-3m (No. 221)
Unique sites:
1 Ga 0.0000 0.0000 0.5000 (multiplicity 3)
2 Pt 0.5000 0.5000 0.5000 (multiplicity 1)
3 C 0.0000 0.0000 0.0000 (multiplicity 1)

No. 6
Compound: Ga2PtRhC
Source: Alexandria via LeMat-Bulk
Functional: meta-GGA SCAN
Structure: single point on PBEsol structure

Values from the calculation:
For the density of states at the Fermi level, the calculation gives 0.47 states/eV per atom. The calculation puts the total energy at -27.78 eV per atom.

Cell lengths 4.6019, 4.6019, 4.8681 Å; angles 90.00, 90.00, 90.00 degrees
Space group P4/mmm (No. 123)
Unique sites:
1 Ga 0.0000 0.5000 0.0000 (multiplicity 2)
2 Pt 0.0000 0.0000 0.5000 (multiplicity 1)
3 Rh 0.0000 0.0000 0.0000 (multiplicity 1)
4 C 0.5000 0.5000 0.5000 (multiplicity 1)